Record 1
# Y4Ho2Er3

A relaxed Y4Ho2Er3 crystal (PBE-GGA, Alexandria via LeMat-Bulk).

Geometry as POSCAR:
```
Y4Ho2Er3
1.0
8.050 -5.769 0.000
8.050 5.769 0.000
-0.611 0.000 6.095
Y Ho Er
8 4 6
direct
0.097 0.810 0.987 Y
0.147 0.429 0.153 Y
0.190 0.903 0.513 Y
0.429 0.147 0.653 Y
0.571 0.853 0.347 Y
0.810 0.097 0.487 Y
0.853 0.571 0.847 Y
0.903 0.190 0.013 Y
0.237 0.524 0.678 Ho
0.476 0.763 0.822 Ho
0.524 0.237 0.178 Ho
0.763 0.476 0.322 Ho
0.070 0.264 0.583 Er
0.264 0.070 0.083 Er
0.406 0.594 0.250 Er
0.594 0.406 0.750 Er
0.736 0.930 0.917 Er
0.930 0.736 0.417 Er
```

Computed properties:
The energy relative to the elements is 0.100 eV per atom. Its space-group type is C2/c, No. 15.


Record 2
# Y4Ho9Er11

A relaxed Y4Ho9Er11 crystal (PBE-GGA, Alexandria via LeMat-Bulk).

Geometry as POSCAR:
```
Y4Ho9Er11
1.0
8.272 -12.502 0.000
8.272 12.502 0.000
0.000 0.000 3.635
Y Ho Er
4 9 11
direct
0.055 0.256 0.000 Y
0.256 0.055 0.000 Y
0.744 0.945 0.000 Y
0.945 0.744 0.000 Y
0.000 0.000 0.000 Ho
0.131 0.664 0.000 Ho
0.287 0.433 0.000 Ho
0.336 0.869 0.000 Ho
0.433 0.287 0.000 Ho
0.567 0.713 0.000 Ho
0.664 0.131 0.000 Ho
0.713 0.567 0.000 Ho
0.869 0.336 0.000 Ho
0.094 0.457 0.500 Er
0.134 0.866 0.500 Er
0.211 0.211 0.500 Er
0.340 0.660 0.500 Er
0.457 0.094 0.500 Er
0.500 0.500 0.500 Er
0.543 0.906 0.500 Er
0.660 0.340 0.500 Er
0.789 0.789 0.500 Er
0.866 0.134 0.500 Er
0.906 0.543 0.500 Er
```

Computed properties:
The energy relative to the elements is 0.059 eV per atom. Its space-group type is Cmmm, No. 65.


Record 3
# Y2Ho5Er6

A relaxed Y2Ho5Er6 crystal (PBE-GGA, Alexandria via LeMat-Bulk).

Geometry as POSCAR:
```
Y2Ho5Er6
1.0
11.574 0.000 0.000
0.000 20.013 0.000
0.000 0.000 3.544
Y Ho Er
4 10 12
direct
0.165 0.211 0.000 Y
0.335 0.711 0.000 Y
0.665 0.289 0.000 Y
0.835 0.789 0.000 Y
0.000 0.500 0.500 Ho
0.094 0.775 0.500 Ho
0.199 0.050 0.500 Ho
0.301 0.550 0.500 Ho
0.406 0.275 0.500 Ho
0.500 0.000 0.500 Ho
0.594 0.725 0.500 Ho
0.699 0.450 0.500 Ho
0.801 0.950 0.500 Ho
0.906 0.225 0.500 Ho
0.059 0.920 0.000 Er
0.083 0.632 0.000 Er
0.173 0.367 0.500 Er
0.327 0.867 0.500 Er
0.417 0.132 0.000 Er
0.441 0.420 0.000 Er
0.559 0.580 0.000 Er
0.583 0.868 0.000 Er
0.673 0.133 0.500 Er
0.827 0.633 0.500 Er
0.917 0.368 0.000 Er
0.941 0.080 0.000 Er
```

Computed properties:
The energy relative to the elements is 0.099 eV per atom. Its space-group type is Pbam, No. 55.


Record 4
# Y2Ho3Er7

A relaxed Y2Ho3Er7 crystal (PBE-GGA, Alexandria via LeMat-Bulk).

Geometry as POSCAR:
```
Y2Ho3Er7
1.0
6.269 0.000 0.000
0.000 3.487 0.000
-1.874 0.000 17.167
Y Ho Er
2 3 7
direct
0.061 0.000 0.174 Y
0.939 0.000 0.826 Y
0.448 0.500 0.843 Ho
0.500 0.000 0.500 Ho
0.552 0.500 0.157 Ho
0.000 0.500 0.500 Er
0.225 0.000 0.667 Er
0.255 0.000 0.999 Er
0.275 0.500 0.336 Er
0.725 0.500 0.664 Er
0.745 0.000 0.001 Er
0.775 0.000 0.333 Er
```

Computed properties:
The energy relative to the elements is 0.083 eV per atom. Its space-group type is P2/m, No. 10.


Record 5
# YHo3Er4

A relaxed YHo3Er4 crystal (PBE-GGA, Alexandria via LeMat-Bulk).

Geometry as POSCAR:
```
YHo3Er4
1.0
11.143 0.000 0.000
0.000 7.212 0.000
0.000 0.000 6.234
Y Ho Er
2 6 8
direct
0.000 0.126 0.000 Y
0.500 0.874 0.500 Y
0.000 0.874 0.500 Ho
0.250 0.126 0.334 Ho
0.250 0.874 0.834 Ho
0.500 0.126 0.000 Ho
0.750 0.126 0.334 Ho
0.750 0.874 0.834 Ho
0.000 0.376 0.500 Er
0.000 0.624 0.999 Er
0.249 0.624 0.332 Er
0.251 0.376 0.832 Er
0.500 0.376 0.499 Er
0.500 0.624 0.000 Er
0.749 0.376 0.832 Er
0.751 0.624 0.332 Er
```

Computed properties:
The energy relative to the elements is 0.000 eV per atom. Its space-group type is Pmn2_1, No. 31.


Record 6
# YHo12Er7

A relaxed YHo12Er7 crystal (PBE-GGA, Alexandria via LeMat-Bulk).

Geometry as POSCAR:
```
YHo12Er7
1.0
-5.605 5.605 5.605
5.605 -5.605 5.605
5.605 5.605 -5.605
Y Ho Er
1 12 7
direct
0.000 0.000 0.000 Y
0.000 0.253 0.747 Ho
0.000 0.747 0.253 Ho
0.253 0.000 0.747 Ho
0.253 0.253 0.506 Ho
0.253 0.506 0.253 Ho
0.253 0.747 0.000 Ho
0.494 0.747 0.747 Ho
0.506 0.253 0.253 Ho
0.747 0.000 0.253 Ho
0.747 0.253 0.000 Ho
0.747 0.494 0.747 Ho
0.747 0.747 0.494 Ho
0.000 0.000 0.500 Er
0.000 0.500 0.000 Er
0.000 0.500 0.500 Er
0.500 0.000 0.000 Er
0.500 0.000 0.500 Er
0.500 0.500 0.000 Er
0.500 0.500 0.500 Er
```

Computed properties:
The energy relative to the elements is 0.734 eV per atom. Its space-group type is Im-3m, No. 229.


Record 7
# Y5Ho6Er

A relaxed Y5Ho6Er crystal (PBE-GGA, Alexandria via LeMat-Bulk).

Geometry as POSCAR:
```
Y5Ho6Er
1.0
3.070 -5.310 0.000
3.070 5.310 0.000
-2.038 0.000 11.564
Y Ho Er
5 6 1
direct
0.000 0.000 0.000 Y
0.167 0.833 0.500 Y
0.333 0.667 0.000 Y
0.667 0.333 0.000 Y
0.833 0.167 0.500 Y
0.085 0.417 0.251 Ho
0.250 0.250 0.749 Ho
0.417 0.085 0.251 Ho
0.583 0.915 0.749 Ho
0.750 0.750 0.251 Ho
0.915 0.583 0.749 Ho
0.500 0.500 0.500 Er
```

Computed properties:
The energy relative to the elements is 0.023 eV per atom. Its space-group type is C2/m, No. 12.


Record 8
# Y2HoEr5

A relaxed Y2HoEr5 crystal (PBE-GGA, Alexandria via LeMat-Bulk).

Geometry as POSCAR:
```
Y2HoEr5
1.0
7.050 0.000 0.000
0.000 14.100 0.000
0.000 0.000 4.978
Y Ho Er
4 2 10
direct
0.250 0.125 0.000 Y
0.250 0.625 0.000 Y
0.750 0.375 0.000 Y
0.750 0.875 0.000 Y
0.000 0.000 0.500 Ho
0.500 0.500 0.500 Ho
0.000 0.500 0.500 Er
0.001 0.750 0.500 Er
0.250 0.375 0.000 Er
0.250 0.875 0.000 Er
0.499 0.250 0.500 Er
0.500 0.000 0.500 Er
0.501 0.750 0.500 Er
0.750 0.125 0.000 Er
0.750 0.625 0.000 Er
0.999 0.250 0.500 Er
```

Computed properties:
The energy relative to the elements is 0.022 eV per atom. Its space-group type is Pbam, No. 55.